Entry 1:
4
Lattice="-1.011 2.436 -1.586 -1.991 -2.615 -2.749 -3.050 0.647 2.939" Properties=species:S:1:pos:R:3 comment="MgP2Os | the Alexandria database | SCAN | PBEsol geometry" energy_ev_per_atom=-24.23 pbc="T T T"
Mg -3.026 0.234 -0.698
Os -0.506 1.218 -0.793
P -1.525 0.324 1.470
P -0.995 -1.307 -1.374

---

Entry 2:
4
Lattice="-0.881 2.660 0.756 -2.559 -0.067 -2.747 -3.551 -2.130 3.359" Properties=species:S:1:pos:R:3 comment="MgP2Os | the Alexandria database | SCAN | PBEsol geometry" energy_ev_per_atom=-24.37 pbc="T T T"
Mg -1.636 -0.981 1.548
Os -4.629 -0.448 1.756
P -3.356 -2.013 3.175
P -2.696 0.711 -0.072

---

Entry 3:
4
Lattice="-1.252 -0.331 -2.532 -2.229 -1.745 -0.267 -6.286 5.592 0.780" Properties=species:S:1:pos:R:3 comment="MgPOs2 | the Alexandria database | SCAN | PBEsol geometry" e_above_lowest_polymorph_kj_per_mol_fu=22.6 pbc="T T T"
Mg -2.463 0.905 -0.497
Os -6.237 5.533 0.764
Os -7.232 2.523 -1.545
P -5.003 1.905 -0.969

---

Entry 4:
5
Lattice="4.613 0.000 0.000 0.000 4.613 0.000 0.000 0.000 4.613" Properties=species:S:1:pos:R:3 comment="MgP3Os | the Alexandria database | SCAN | PBEsol geometry" energy_ev_per_atom=-20.96 pbc="T T T"
P 0.000 2.307 0.000
P 0.000 0.000 2.307
P 2.307 0.000 0.000
Mg 2.307 2.307 2.307
Os 0.000 0.000 0.000

---

Entry 5:
4
Lattice="2.863 0.000 0.000 0.000 4.836 0.036 -1.432 -2.019 4.185" Properties=species:S:1:pos:R:3 comment="MgPOs2 | the Alexandria database | SCAN | PBEsol geometry" e_above_lowest_polymorph_kj_per_mol_fu=0.0 pbc="T T T"
Mg 0.000 2.912 2.292
Os 0.000 4.224 0.181
Os 1.432 0.581 1.992
P 0.000 0.335 3.996

---

Entry 6:
5
Lattice="4.645 0.000 0.000 0.000 4.645 0.000 0.000 0.000 5.028" Properties=species:S:1:pos:R:3 comment="RbMgP2Os | the Alexandria database | SCAN | PBEsol geometry" energy_ev_per_atom=-23.63 pbc="T T T"
P 0.000 2.323 0.000
P 2.323 0.000 0.000
Mg 0.000 0.000 2.514
Os 0.000 0.000 0.000
Rb 2.323 2.323 2.514

---

Entry 7:
3
Lattice="-2.199 1.612 1.306 1.050 -2.262 1.710 5.452 4.707 1.295" Properties=species:S:1:pos:R:3 comment="MgOsPb | the Alexandria database | SCAN | PBEsol geometry" e_above_lowest_polymorph_kj_per_mol_fu=65.4 pbc="T T T"
Mg 0.192 0.172 0.110
Os 0.997 1.088 2.411
Pb 3.114 2.798 1.789

---

Entry 8:
3
Lattice="-1.723 -1.241 -3.954 -4.238 -1.457 -0.243 -3.134 2.533 -1.976" Properties=species:S:1:pos:R:3 comment="MgOsPb | the Alexandria database | SCAN | PBEsol geometry" e_above_lowest_polymorph_kj_per_mol_fu=0.0 pbc="T T T"
Mg -4.547 -0.082 -3.086
Os -2.274 -0.041 -1.543
Pb 0.000 0.000 0.000

---

Entry 9:
3
Lattice="2.768 0.000 0.000 -1.384 2.397 0.000 0.000 0.000 6.758" Properties=species:S:1:pos:R:3 comment="MgOsPt | the Alexandria database | SCAN | PBEsol geometry" e_above_lowest_polymorph_kj_per_mol_fu=0.0 pbc="T T T"
Mg 0.000 0.000 0.017
Os 0.000 1.598 4.484
Pt 1.384 0.799 2.257

---

Entry 10:
4
Lattice="-2.730 -0.195 -1.051 -1.464 -1.381 4.059 -0.766 4.304 1.188" Properties=species:S:1:pos:R:3 comment="Mg2OsPt | the Alexandria database | SCAN | PBEsol geometry" energy_ev_per_atom=-38.26 pbc="T T T"
Mg -0.383 2.152 0.594
Mg -0.732 -0.690 2.029
Os -2.480 1.364 2.098
Pt -1.365 -0.098 -0.526

---

Entry 11:
4
Lattice="-0.342 2.267 1.517 -2.264 -1.089 1.117 4.378 -3.193 5.759" Properties=species:S:1:pos:R:3 comment="MgOsPt2 | the Alexandria database | SCAN | PBEsol geometry" energy_ev_per_atom=-54.64 pbc="T T T"
Mg -1.303 0.589 1.317
Os 0.886 -1.008 4.196
Pt 3.243 -2.365 4.266
Pt 1.135 -0.828 1.493

---

Entry 12:
4
Lattice="-1.177 2.023 -3.108 2.943 -1.477 -2.076 -2.259 -2.979 -1.084" Properties=species:S:1:pos:R:3 comment="MgOsPt2 | the Alexandria database | SCAN | PBEsol geometry" energy_ev_per_atom=-54.51 pbc="T T T"
Mg -0.246 -1.216 -3.134
Os -0.588 1.012 -1.554
Pt -1.129 -1.489 -0.542
Pt 1.472 -0.738 -1.038

---

The calculation returns the following magnetization values, one per record and in order: 0.00; 0.00; 0.00; 0.00; 0.00; 0.00; 0.00; 0.00; 0.00; 0.01; 0.00; 0.00 μB/f.u..
The calculation returns the following N(E_F) values, one per record and in order: 0.560; 0.571; 0.446; 0.732; 0.622; 0.530; 0.741; 0.411; 0.530; 0.633; 0.636; 0.837 states/eV per atom.